KSrMoF6: optimized geometry, PBE+U.

Calculated values
As for the spin magnetization: 3.00 μB/f.u. The crystal system is trigonal. For the volume, the calculation gives 19.1 Å³/atom. For the raw total energy, the calculation gives -97.9 eV for the cell shown.

```
data_KSrMoF6
_chemical_formula_sum 'K2 Sr2 Mo2 F12'
_cell_length_a 6.2397
_cell_length_b 6.2397
_cell_length_c 10.1717
_cell_angle_alpha 90.00
_cell_angle_beta 90.00
_cell_angle_gamma 120.00
_space_group_name_H-M_alt 'P -3 1 c'
_space_group_IT_number 163
_space_group_name_Hall '-P 3 2c'
loop_
_atom_site_label
_atom_site_fract_x
_atom_site_fract_y
_atom_site_fract_z
K1 0.0000 0.0000 0.0000
Sr1 0.3333 0.6667 0.2500
Mo1 0.3333 0.6667 0.7500
F1 0.0400 0.3844 0.6410
```